DFT (PBE) results for crystalline Tb8Nd3Ho at its relaxed geometry.

## Properties
Energy relative to the elements ... 0.61 eV/atom
V ... 36.369 Å³/atom

```
data_Tb8Nd3Ho
_space_group_name_H-M_alt 'I -4 2 m'
_space_group_IT_number 121
_space_group_name_Hall 'I -4 2'
_cell_length_a 8.7591
_cell_length_b 8.7591
_cell_length_c 11.3771
_cell_angle_alpha 90.00
_cell_angle_beta 90.00
_cell_angle_gamma 90.00
loop_
_atom_site_label
_atom_site_type_symbol
_atom_site_fract_x
_atom_site_fract_y
_atom_site_fract_z
_atom_site_occupancy
Tb1 Tb 0.1252 0.1252 0.2469 1
Tb2 Tb 0.2461 0.2461 0.9926 1
Nd1 Nd 0.0000 0.0000 0.5000 1
Nd2 Nd 0.0000 0.5000 0.2500 1
Ho1 Ho 0.0000 0.0000 0.0000 1
```


DFT (PBE) results for crystalline Tb6NdHo at its relaxed geometry.

## Properties
Energy relative to the elements ... 0.37 eV/atom
Distance to the lowest polymorph of the same formula ... 0.347 eV/atom
V ... 35.379 Å³/atom

```
data_Tb6NdHo
_space_group_name_H-M_alt 'C 1 2/m 1'
_space_group_IT_number 12
_space_group_name_Hall '-C 2y'
_cell_length_a 10.0239
_cell_length_b 6.8569
_cell_length_c 8.4819
_cell_angle_alpha 90.00
_cell_angle_beta 103.84
_cell_angle_gamma 90.00
loop_
_atom_site_label
_atom_site_type_symbol
_atom_site_fract_x
_atom_site_fract_y
_atom_site_fract_z
_atom_site_occupancy
Tb1 Tb 0.1276 0.0000 0.4239 1
Tb2 Tb 0.1956 0.2375 0.8023 1
Nd1 Nd 0.0000 0.5000 0.5000 1
Ho1 Ho 0.0000 0.5000 0.0000 1
```


DFT (PBE) results for crystalline Tb4Nd2Ho5 at its relaxed geometry.

## Properties
Energy relative to the elements ... 0.15 eV/atom
Distance to the lowest polymorph of the same formula ... 0.000 eV/atom
V ... 32.556 Å³/atom

```
data_Tb4Nd2Ho5
_space_group_name_H-M_alt 'C 1 2/m 1'
_space_group_IT_number 12
_space_group_name_Hall '-C 2y'
_cell_length_a 23.8432
_cell_length_b 3.4647
_cell_length_c 8.7295
_cell_angle_alpha 90.00
_cell_angle_beta 96.69
_cell_angle_gamma 90.00
loop_
_atom_site_label
_atom_site_type_symbol
_atom_site_fract_x
_atom_site_fract_y
_atom_site_fract_z
_atom_site_occupancy
Tb1 Tb 0.0457 0.0000 0.3596 1
Tb2 Tb 0.1781 0.5000 0.4727 1
Nd1 Nd 0.0917 0.0000 0.7423 1
Ho1 Ho 0.0000 0.5000 0.0000 1
Ho2 Ho 0.1416 0.0000 0.1215 1
Ho3 Ho 0.2332 0.0000 0.8268 1
```


DFT (PBE) results for crystalline TbNd4Ho5 at its relaxed geometry.

## Properties
Energy relative to the elements ... 0.19 eV/atom
Distance to the lowest polymorph of the same formula ... 0.172 eV/atom
V ... 34.217 Å³/atom

```
data_TbNd4Ho5
_space_group_name_H-M_alt 'C 1 2/m 1'
_space_group_IT_number 12
_space_group_name_Hall '-C 2y'
_cell_length_a 17.1853
_cell_length_b 3.5342
_cell_length_c 11.2674
_cell_angle_alpha 90.00
_cell_angle_beta 90.06
_cell_angle_gamma 90.00
loop_
_atom_site_label
_atom_site_type_symbol
_atom_site_fract_x
_atom_site_fract_y
_atom_site_fract_z
_atom_site_occupancy
Tb1 Tb 0.0000 0.0000 0.0000 1
Nd1 Nd 0.0318 0.5000 0.7495 1
Nd2 Nd 0.1573 0.0000 0.2499 1
Ho1 Ho 0.0000 0.0000 0.5000 1
Ho2 Ho 0.1731 0.5000 0.5489 1
Ho3 Ho 0.1736 0.5000 0.9499 1
```


DFT (PBE) results for crystalline Tb3NdHo3 at its relaxed geometry.

## Properties
Energy relative to the elements ... 0.01 eV/atom
Distance to the lowest polymorph of the same formula ... 0.000 eV/atom
V ... 32.299 Å³/atom

```
data_Tb3NdHo3
_space_group_name_H-M_alt 'P 63/m'
_space_group_IT_number 176
_space_group_name_Hall '-P 6c'
_cell_length_a 9.5818
_cell_length_b 9.5818
_cell_length_c 5.6872
_cell_angle_alpha 90.00
_cell_angle_beta 90.00
_cell_angle_gamma 120.00
loop_
_atom_site_label
_atom_site_type_symbol
_atom_site_fract_x
_atom_site_fract_y
_atom_site_fract_z
_atom_site_occupancy
Tb1 Tb 0.0487 0.2376 0.2500 1
Nd1 Nd 0.3333 0.6667 0.2500 1
Ho1 Ho 0.0957 0.4767 0.7500 1
```


DFT (PBE) results for crystalline TbNd3Ho12 at its relaxed geometry.

## Properties
Energy relative to the elements ... 0.02 eV/atom
V ... 31.763 Å³/atom

```
data_TbNd3Ho12
_space_group_name_H-M_alt 'P 4/m m m'
_space_group_IT_number 123
_space_group_name_Hall '-P 4 2'
_cell_length_a 5.0269
_cell_length_b 5.0269
_cell_length_c 20.1118
_cell_angle_alpha 90.00
_cell_angle_beta 90.00
_cell_angle_gamma 90.00
loop_
_atom_site_label
_atom_site_type_symbol
_atom_site_fract_x
_atom_site_fract_y
_atom_site_fract_z
_atom_site_occupancy
Tb1 Tb 0.0000 0.0000 0.0000 1
Nd1 Nd 0.0000 0.0000 0.2493 1
Nd2 Nd 0.0000 0.0000 0.5000 1
Ho1 Ho 0.0000 0.5000 0.1234 1
Ho2 Ho 0.0000 0.5000 0.3744 1
Ho3 Ho 0.5000 0.5000 0.0000 1
Ho4 Ho 0.5000 0.5000 0.2487 1
Ho5 Ho 0.5000 0.5000 0.5000 1
```


DFT (PBE) results for crystalline Tb5Nd8Ho at its relaxed geometry.

## Properties
Energy relative to the elements ... 0.25 eV/atom
V ... 34.842 Å³/atom

```
data_Tb5Nd8Ho
_space_group_name_H-M_alt 'I -4'
_space_group_IT_number 82
_space_group_name_Hall 'I -4'
_cell_length_a 9.7370
_cell_length_b 9.7370
_cell_length_c 10.2897
_cell_angle_alpha 90.00
_cell_angle_beta 90.00
_cell_angle_gamma 90.00
loop_
_atom_site_label
_atom_site_type_symbol
_atom_site_fract_x
_atom_site_fract_y
_atom_site_fract_z
_atom_site_occupancy
Tb1 Tb 0.0000 0.0000 0.0000 1
Tb2 Tb 0.1074 0.7943 0.4260 1
Nd1 Nd 0.0689 0.6730 0.0952 1
Nd2 Nd 0.0868 0.8204 0.7536 1
Ho1 Ho 0.0000 0.5000 0.7500 1
```


DFT (PBE) results for crystalline Tb5Nd3Ho4 at its relaxed geometry.

## Properties
Energy relative to the elements ... 0.02 eV/atom
Distance to the lowest polymorph of the same formula ... 0.000 eV/atom
V ... 32.356 Å³/atom

```
data_Tb5Nd3Ho4
_space_group_name_H-M_alt 'P -1'
_space_group_IT_number 2
_space_group_name_Hall '-P 1'
_cell_length_a 6.1968
_cell_length_b 7.1531
_cell_length_c 8.7595
_cell_angle_alpha 90.04
_cell_angle_beta 90.11
_cell_angle_gamma 90.16
loop_
_atom_site_label
_atom_site_type_symbol
_atom_site_fract_x
_atom_site_fract_y
_atom_site_fract_z
_atom_site_occupancy
Tb1 Tb 0.0000 0.0000 0.0000 1
Tb2 Tb 0.3346 0.4999 0.3335 1
Tb3 Tb 0.4989 0.7516 0.9999 1
Nd1 Nd 0.0000 0.5000 0.0000 1
Nd2 Nd 0.1661 0.2490 0.6656 1
Ho1 Ho 0.1683 0.7515 0.6663 1
Ho2 Ho 0.3337 0.0001 0.3332 1
```


> Which formula does entry 6 have?

TbNd3Ho12


> Number 3 is which compound?

Tb4Nd2Ho5